[1]
The following is a PBE calculation of a relaxed structure of Zn2AsP, from Alexandria.

Space-group type   No. 123
DOS at the Fermi energy   0.39 states/eV per atom
Distance to the lowest polymorph of the same formula   206 meV per atom
Formation enthalpy at 0 K   262 meV/atom

Cell: 3.636 3.636 5.152 Å, 90.00 90.00 90.00°
Element x y z (fractional)
1 Zn 0.000 0.000 0.745
2 Zn 0.000 0.000 0.255
3 As 0.500 0.500 0.000
4 P 0.500 0.500 0.500

[2]
The following is a PBE calculation of a relaxed structure of Rb3HoEr3Se8, from Alexandria.

Space-group type   No. 166
DOS at the Fermi energy   0.58 states/eV per atom
Formation energy (no corrections)   -1.666 eV per atom

Cell: 8.267 8.271 9.484 Å, 115.89 90.00 119.99°
Element x y z (fractional)
1 Rb 0.000 0.000 0.000
2 Rb 0.000 0.500 0.000
3 Rb 0.500 0.500 0.000
4 Er 0.500 0.500 0.500
5 Er 0.500 0.000 0.500
6 Er 0.000 0.500 0.500
7 Ho 0.000 0.000 0.500
8 Se 0.271 0.039 0.308
9 Se 0.269 0.537 0.306
10 Se 0.731 0.463 0.694
11 Se 0.232 0.464 0.692
12 Se 0.729 0.961 0.692
13 Se 0.768 0.039 0.308
14 Se 0.768 0.536 0.308
15 Se 0.232 0.961 0.692